VASP calculation (PBE) on an optimized crystal structure of Mn2MoRu.

Cell: 2.643 2.643 7.602 Å, 90.00 90.00 90.16°
Sites, in units of the cell vectors:
1 Ru 0.500 0.500 0.750
2 Mo 0.500 0.500 0.250
3 Mn 0.000 0.000 0.515
4 Mn 0.000 0.000 0.985

Values from the calculation:
Theoretical density ... 9.59 Mg/m³
Formation energy from the elements ... 0.14 eV per atom

VASP calculation (PBE) on an optimized crystal structure of Ta4TlBr7.

Cell: 4.906 11.396 14.032 Å, 90.00 90.00 90.00°
Sites, in units of the cell vectors:
1 Br 0.513 0.787 0.633
2 Br 0.013 0.213 0.867
3 Br 0.513 0.933 0.000
4 Br 0.013 0.769 0.186
5 Br 0.013 0.067 0.500
6 Br 0.513 0.598 0.135
7 Br 0.513 0.787 0.367
8 Br 0.013 0.402 0.635
9 Br 0.013 0.769 0.814
10 Br 0.013 0.402 0.365
11 Br 0.013 0.213 0.133
12 Br 0.513 0.598 0.865
13 Br 0.513 0.231 0.314
14 Br 0.513 0.231 0.686
15 Tl 0.513 0.497 0.500
16 Tl 0.013 0.503 0.000
17 Ta 0.513 0.844 0.176
18 Ta 0.013 0.001 0.189
19 Ta 0.513 0.999 0.689
20 Ta 0.013 0.001 0.811
21 Ta 0.013 0.156 0.676
22 Ta 0.513 0.844 0.824
23 Ta 0.513 0.999 0.311
24 Ta 0.013 0.156 0.324

Values from the calculation:
Theoretical density ... 6.30 Mg/m³
Energy relative to the elements, uncorrected ... -3.7 eV/f.u.

VASP calculation (PBE) on an optimized crystal structure of Zn2GaTe.

Cell: 6.530 6.530 6.817 Å, 61.38 61.38 90.00°
Sites, in units of the cell vectors:
1 Ga 0.500 0.500 0.000
2 Ga 0.250 0.750 0.500
3 Zn 0.611 0.125 0.250
4 Zn 0.375 0.389 0.750
5 Zn 0.139 0.625 0.250
6 Zn 0.875 0.861 0.750
7 Te 0.000 0.000 0.000
8 Te 0.750 0.250 0.500

Values from the calculation:
Theoretical density ... 5.10 Mg/m³
Energy relative to the elements, uncorrected ... 0.3 eV/f.u.
E above lowest polymorph ... 0 meV/atom

VASP calculation (PBE) on an optimized crystal structure of Ac2Pr3Y6.

Cell: 6.315 6.322 12.070 Å, 84.99 79.93 60.03°
Sites, in units of the cell vectors:
1 Y 0.585 0.332 0.244
2 Y 0.918 0.668 0.244
3 Y 0.082 0.332 0.756
4 Y 0.253 0.000 0.244
5 Y 0.415 0.668 0.756
6 Y 0.747 0.000 0.756
7 Pr 0.000 0.000 0.000
8 Pr 0.335 0.329 0.000
9 Pr 0.665 0.671 0.000
10 Ac 0.167 0.666 0.500
11 Ac 0.833 0.334 0.500

Values from the calculation:
Theoretical density ... 5.70 Mg/m³
Formation energy from the elements ... 0.18 eV per atom

VASP calculation (PBE) on an optimized crystal structure of SrMgCr3.

Cell: 5.215 5.215 5.215 Å, 90.00 90.00 90.00°
Sites, in units of the cell vectors:
1 Cr 0.000 0.500 0.000
2 Cr 0.000 0.000 0.500
3 Cr 0.500 0.000 0.000
4 Sr 0.000 0.000 0.000
5 Mg 0.500 0.500 0.500

Values from the calculation:
Theoretical density ... 3.14 Mg/m³
Formation energy from the elements ... 2.14 eV per atom
E above lowest polymorph ... 880 meV/atom

VASP calculation (PBE) on an optimized crystal structure of MnSbTe2P.

Cell: 5.008 5.008 5.041 Å, 90.00 90.00 90.00°
Sites, in units of the cell vectors:
1 Te 0.000 0.500 0.000
2 Te 0.500 0.000 0.000
3 P 0.500 0.500 0.500
4 Mn 0.000 0.000 0.000
5 Sb 0.000 0.000 0.500

Values from the calculation:
Theoretical density ... 6.08 Mg/m³
Energy relative to the elements, uncorrected ... 3.4 eV/f.u.
E above lowest polymorph ... 0 meV/atom

VASP calculation (PBE) on an optimized crystal structure of Th2In5Ga.

Cell: 4.591 6.718 13.409 Å, 90.00 90.00 90.00°
Sites, in units of the cell vectors:
1 Th 0.500 0.271 0.119
2 Th 0.500 0.771 0.381
3 Th 0.500 0.229 0.619
4 Th 0.500 0.729 0.881
5 In 0.500 0.735 0.627
6 In 0.000 0.979 0.748
7 In 0.500 0.765 0.127
8 In 0.000 0.000 0.000
9 In 0.000 0.479 0.752
10 In 0.500 0.265 0.373
11 In 0.000 0.521 0.248
12 In 0.500 0.235 0.873
13 In 0.000 0.500 0.500
14 In 0.000 0.021 0.252
15 Ga 0.000 0.000 0.500
16 Ga 0.000 0.500 0.000

Values from the calculation:
Theoretical density ... 8.90 Mg/m³
Formation energy from the elements ... -0.35 eV per atom

VASP calculation (PBE) on an optimized crystal structure of Y5Ho4Tl.

Cell: 3.612 10.122 10.593 Å, 120.98 90.00 100.28°
Sites, in units of the cell vectors:
1 Y 0.178 0.355 0.548
2 Y 0.822 0.645 0.452
3 Y 0.158 0.317 0.151
4 Y 0.500 0.000 0.500
5 Y 0.842 0.683 0.849
6 Ho 0.989 0.978 0.226
7 Ho 0.011 0.022 0.774
8 Ho 0.674 0.347 0.856
9 Ho 0.326 0.653 0.144
10 Tl 0.500 0.000 0.000

Values from the calculation:
Theoretical density ... 6.69 Mg/m³
Formation energy from the elements ... 0.06 eV per atom
E above lowest polymorph ... 0 meV/atom